## KRbBaBi (PBE-GGA)

Data for KRbBaBi after structural relaxation.

Cell and atoms, written as CIF:
```
data_KRbBaBi
_cell_length_a 6.389
_cell_length_b 6.389
_cell_length_c 6.389
_cell_angle_alpha 60.00
_cell_angle_beta 60.00
_cell_angle_gamma 60.00
_space_group_name_H-M_alt 'P 1'
_space_group_IT_number 1
loop_
_space_group_symop_operation_xyz
'x,y,z'
loop_
_atom_site_label
_atom_site_fract_x
_atom_site_fract_y
_atom_site_fract_z
_atom_site_occupancy
K1 0.000 0.000 0.000 1
Rb1 0.250 0.250 0.250 1
Ba1 0.500 0.500 0.500 1
Bi1 0.750 0.750 0.750 1
```

Calculated values
ΔE_f in kJ per mole of atoms: -27.45
SG: F-43m (216)

***

## CaHgGePb (PBE-GGA)

Data for CaHgGePb after structural relaxation.

Cell and atoms, written as CIF:
```
data_CaHgGePb
_cell_length_a 5.326
_cell_length_b 5.326
_cell_length_c 5.326
_cell_angle_alpha 60.00
_cell_angle_beta 60.00
_cell_angle_gamma 60.00
_space_group_name_H-M_alt 'P 1'
_space_group_IT_number 1
loop_
_space_group_symop_operation_xyz
'x,y,z'
loop_
_atom_site_label
_atom_site_fract_x
_atom_site_fract_y
_atom_site_fract_z
_atom_site_occupancy
Ca1 0.000 0.000 0.000 1
Hg1 0.750 0.750 0.750 1
Ge1 0.250 0.250 0.250 1
Pb1 0.500 0.500 0.500 1
```

Calculated values
ΔE_f in kJ per mole of atoms: -24.19
SG: F-43m (216)

***

## Pm4Sb2AsP (PBE-GGA)

Data for Pm4Sb2AsP after structural relaxation.

Cell and atoms, written as CIF:
```
data_Pm4Sb2AsP
_cell_length_a 7.476
_cell_length_b 4.318
_cell_length_c 7.570
_cell_angle_alpha 90.00
_cell_angle_beta 109.19
_cell_angle_gamma 90.00
_space_group_name_H-M_alt 'P 1'
_space_group_IT_number 1
loop_
_space_group_symop_operation_xyz
'x,y,z'
loop_
_atom_site_label
_atom_site_fract_x
_atom_site_fract_y
_atom_site_fract_z
_atom_site_occupancy
Pm1 0.240 0.000 0.229 1
Pm2 0.253 0.500 0.769 1
Pm3 0.747 0.500 0.231 1
Pm4 0.760 0.000 0.771 1
Sb1 0.000 0.000 0.500 1
Sb2 0.500 0.500 0.500 1
As1 0.500 0.000 0.000 1
P1 0.000 0.500 0.000 1
```

Calculated values
Energy relative to the elements, uncorrected in kJ/mol of atoms: -129
SG: P2/m (10)

***

## Sr2HfZrTe (PBE-GGA)

Data for Sr2HfZrTe after structural relaxation.

Cell and atoms, written as CIF:
```
data_Sr2HfZrTe
_cell_length_a 6.144
_cell_length_b 6.144
_cell_length_c 5.084
_cell_angle_alpha 90.00
_cell_angle_beta 90.00
_cell_angle_gamma 90.00
_space_group_name_H-M_alt 'P 1'
_space_group_IT_number 1
loop_
_space_group_symop_operation_xyz
'x,y,z'
loop_
_atom_site_label
_atom_site_fract_x
_atom_site_fract_y
_atom_site_fract_z
_atom_site_occupancy
Sr1 0.000 0.500 0.000 1
Sr2 0.500 0.000 0.000 1
Hf1 0.000 0.000 0.000 1
Zr1 0.000 0.000 0.500 1
Te1 0.500 0.500 0.500 1
```

Calculated values
Energy relative to the elements, uncorrected in kJ/mol of atoms: 61
SG: P4/mmm (123)